1.
A geometry-optimized Sr6Cd3Ir structure. Source: Alexandria, functional PBE-GGA.

It has space group P2_1/c (No. 14), with a = 7.428 Å, b = 9.064 Å, c = 13.645 Å, α = 90.00°, β = 121.30° and γ = 90.00°. The inequivalent atoms are Sr at (0.094, 0.043, 0.234), Sr at (0.196, 0.704, 0.063), Sr at (0.391, 0.158, 0.058), Cd at (0.319, 0.113, 0.742), Cd at (0.500, 0.000, 0.500) and Ir at (0.000, 0.000, 0.000).

The calculation puts the density at 4464 kg/m3. For the density of states at the Fermi level, the calculation gives 12.84 states/eV/cell. The formation energy from the elements is -213 meV per atom.



2.
A geometry-optimized SrCd2Ir structure. Source: Alexandria, functional PBE-GGA.

It has space group Imm2 (No. 44), with a = 4.964 Å, b = 5.422 Å, c = 7.084 Å, α = 90.00°, β = 90.00° and γ = 90.00°. The inequivalent atoms are Sr at (0.000, 0.000, 0.000), Cd at (0.000, 0.000, 0.516), Cd at (0.000, 0.500, 0.784) and Ir at (0.000, 0.500, 0.202).

The calculation puts the density at 8792 kg/m3. For the density of states at the Fermi level, the calculation gives 4.91 states/eV/cell. The formation energy from the elements is 69 meV per atom.



3.
A geometry-optimized SrCdIr2 structure. Source: Alexandria, functional PBE-GGA.

It has space group P4mm (No. 99), with a = 3.031 Å, b = 3.031 Å, c = 8.814 Å, α = 90.00°, β = 90.00° and γ = 90.00°. The inequivalent atoms are Sr at (0.000, 0.000, 0.000), Cd at (0.500, 0.500, 0.313), Ir at (0.000, 0.000, 0.552) and Ir at (0.500, 0.500, 0.724).

The calculation puts the density at 11986 kg/m3. For the density of states at the Fermi level, the calculation gives 3.12 states/eV/cell. The formation energy from the elements is 227 meV per atom.